DFT (PBE) results for PmHoAg3 after structural relaxation.

Calculated values
energy of formation from the pure elements: -0.261 eV per atom
size of the total moment: 0.000 μB/atom
space-group type: Cmcm (63)

a = 3.5577 Å, b = 4.7978 Å, c = 14.1233 Å
α = 90.00°, β = 97.24°, γ = 90.00°
Last column: nearest neighbours and their distance in Å.
Element x y z (fractional)
Ho: 0.7903 0.2500 0.5806  7 Ag 3.03-3.12
Pm: 0.9249 0.7500 0.8498  12 Ag 3.26-3.41, 2 Pm 3.56
Ag: 0.3212 0.7500 0.6424  2 Ag 2.88, 5 Ho 3.11-3.12
Ag: 0.6788 0.2500 0.3576  2 Ag 2.88, 5 Ho 3.11-3.12
Ho: 0.2097 0.7500 0.4194  7 Ag 3.03-3.12
Pm: 0.0751 0.2500 0.1502  12 Ag 3.26-3.41, 2 Pm 3.56
Ag: 0.6221 0.7500 0.2443  3 Ag 2.75-2.88, 2 Ho 3.03
Ag: 0.3779 0.2500 0.7557  3 Ag 2.75-2.88, 2 Ho 3.03
Ag: 0.4761 0.2500 0.9521  3 Ag 2.75
Ag: 0.5239 0.7500 0.0479  3 Ag 2.75


DFT (PBE) results for Sm3OsO6 after structural relaxation.

Calculated values
size of the total moment: 0.094 μB/atom
space-group type: Cmc2_1 (36)
uncorrected formation energy: -2.5315 eV per atom

a = 5.7532 Å, b = 7.3151 Å, c = 7.3151 Å
α = 103.12°, β = 90.00°, γ = 90.00°
Last column: nearest neighbours and their distance in Å.
Element x y z (fractional)
Sm: 0.4137 0.4005 0.5995  7 O 2.33-2.55
O: 0.7058 0.8989 0.4172  1 Os 2.02
Sm: 0.9644 0.0952 0.2992  6 O 2.27-2.49
O: 0.2058 0.1011 0.5828  1 Os 2.02
Os: 0.9807 0.2086 0.7914  3 O 1.84-2.02
Os: 0.4807 0.7914 0.2086  3 O 1.84-2.02
O: 0.6928 0.6421 0.6735  4 Sm 2.27-2.36
O: 0.2058 0.4172 0.8989  1 Os 2.02
O: 0.6618 0.2163 0.7837  1 Os 1.84
O: 0.7031 0.9421 0.0579  1 Os 2.15, 2 Sm 2.39
O: 0.2031 0.0579 0.9421  1 Os 2.15, 2 Sm 2.39
O: 0.1928 0.3579 0.3265  4 Sm 2.27-2.36
Sm: 0.4644 0.2992 0.0952  6 O 2.27-2.49
O: 0.1618 0.7837 0.2163  1 Os 1.84
Sm: 0.4644 0.9048 0.7008  6 O 2.27-2.49
O: 0.7058 0.5828 0.1011  1 Os 2.02
O: 0.6928 0.3265 0.3579  4 Sm 2.27-2.36
Sm: 0.9644 0.7008 0.9048  6 O 2.27-2.49
O: 0.1928 0.6735 0.6421  4 Sm 2.27-2.36
Sm: 0.9137 0.5995 0.4005  7 O 2.33-2.55


DFT (PBE) results for SrCoOs2 after structural relaxation.

Calculated values
energy of formation from the pure elements: 1.130 eV per atom
size of the total moment: 0.245 μB/atom
space-group type: Cmmm (65)

a = 5.3770 Å, b = 5.3770 Å, c = 2.6284 Å
α = 90.00°, β = 90.00°, γ = 117.43°
Last column: nearest neighbours and their distance in Å.
Element x y z (fractional)
Os: 0.0000 0.0000 0.0000  4 Os 2.63-2.79
Os: 0.5000 0.5000 0.0000  4 Os 2.63-2.79
Co: 0.0000 0.5000 0.5000  2 Co 2.63, 2 Sr 2.79
Sr: 0.5000 0.0000 0.5000  2 Sr 2.63, 2 Co 2.79


DFT (PBE) results for SmHf2Zn6 after structural relaxation.

Calculated values
energy of formation from the pure elements: -0.232 eV per atom
size of the total moment: 0.000 μB/atom
space-group type: P6/mmm (191)

a = 3.1833 Å, b = 7.6781 Å, c = 7.6780 Å
α = 120.00°, β = 90.00°, γ = 90.00°
Last column: nearest neighbours and their distance in Å.
Element x y z (fractional)
Zn: 0.5000 0.0000 0.6591  3 Zn 2.44-2.62
Hf: 0.0000 0.3333 0.6667  12 Zn 2.99, 2 Hf 3.18
Zn: 0.5000 0.3409 0.0000  3 Zn 2.44-2.62
Sm: 0.0000 0.0000 0.0000  12 Zn 3.06, 2 Sm 3.18
Zn: 0.5000 0.6591 0.0000  3 Zn 2.44-2.62
Zn: 0.5000 0.0000 0.3409  3 Zn 2.44-2.62
Zn: 0.5000 0.6591 0.6591  3 Zn 2.44-2.62
Zn: 0.5000 0.3409 0.3409  3 Zn 2.44-2.62
Hf: 0.0000 0.6667 0.3333  12 Zn 2.99, 2 Hf 3.18


DFT (PBE) results for Pr8Nd6Dy after structural relaxation.

Calculated values
energy of formation from the pure elements: 0.108 eV per atom
size of the total moment: 0.000 μB/atom
space-group type: R-3 (148)

a = 9.3677 Å, b = 9.3677 Å, c = 8.9104 Å
α = 58.29°, β = 58.29°, γ = 60.00°
Last column: nearest neighbours and their distance in Å.
Element x y z (fractional)
Dy: 0.0000 0.0000 0.0000  6 Nd 3.58, 6 Pr 3.61
Nd: 0.7585 0.4601 0.8786  4 Pr 3.47-3.88, 1 Dy 3.58, 4 Nd 3.66-3.87
Pr: 0.2480 0.2847 0.5805  3 Nd 3.50-3.88, 5 Pr 3.53-3.57, 1 Dy 3.61
Pr: 0.1132 0.7520 0.4195  3 Nd 3.50-3.88, 5 Pr 3.53-3.57, 1 Dy 3.61
Pr: 0.8868 0.2480 0.5805  3 Nd 3.50-3.88, 5 Pr 3.53-3.57, 1 Dy 3.61
Nd: 0.0972 0.2415 0.1214  4 Pr 3.47-3.88, 1 Dy 3.58, 4 Nd 3.66-3.87
Pr: 0.7153 0.1132 0.4195  3 Nd 3.50-3.88, 5 Pr 3.53-3.57, 1 Dy 3.61
Pr: 0.2847 0.8868 0.5805  3 Nd 3.50-3.88, 5 Pr 3.53-3.57, 1 Dy 3.61
Pr: 0.5779 0.5779 0.2662  4 Pr 3.31-3.53, 3 Nd 3.47
Nd: 0.9028 0.7585 0.8786  4 Pr 3.47-3.88, 1 Dy 3.58, 4 Nd 3.66-3.87
Nd: 0.4601 0.9028 0.8786  4 Pr 3.47-3.88, 1 Dy 3.58, 4 Nd 3.66-3.87
Pr: 0.4221 0.4221 0.7338  4 Pr 3.31-3.53, 3 Nd 3.47
Nd: 0.5399 0.0972 0.1214  4 Pr 3.47-3.88, 1 Dy 3.58, 4 Nd 3.66-3.87
Nd: 0.2415 0.5399 0.1214  4 Pr 3.47-3.88, 1 Dy 3.58, 4 Nd 3.66-3.87
Pr: 0.7520 0.7153 0.4195  3 Nd 3.50-3.88, 5 Pr 3.53-3.57, 1 Dy 3.61


DFT (PBE) results for Ce2NpPaN4 after structural relaxation.

Calculated values
size of the total moment: 0.437 μB/atom
space-group type: P2/m (10)
uncorrected formation energy: -1.4556 eV per atom

a = 3.5213 Å, b = 6.1031 Å, c = 6.1152 Å
α = 109.63°, β = 90.00°, γ = 90.00°
Last column: nearest neighbours and their distance in Å.
Element x y z (fractional)
Np: 0.0000 0.0000 0.0000  6 N 2.41-2.44
N: 0.5000 0.7576 0.7738  2 Np 2.41, 1 Pa 2.42, 3 Ce 2.57-2.58
N: 0.5000 0.2424 0.2262  2 Np 2.41, 1 Pa 2.42, 3 Ce 2.57-2.58
Ce: 0.5000 0.0000 0.5000  6 N 2.57-2.58
Pa: 0.5000 0.5000 0.0000  6 N 2.41-2.42
N: 0.0000 0.7398 0.2274  2 Pa 2.41, 1 Np 2.44, 3 Ce 2.56-2.57
Ce: 0.0000 0.5000 0.5000  6 N 2.56-2.57
N: 0.0000 0.2602 0.7726  2 Pa 2.41, 1 Np 2.44, 3 Ce 2.56-2.57


DFT (PBE) results for MnSeIN2 after structural relaxation.

Calculated values
size of the total moment: 0.027 μB/atom
space-group type: P4/mmm (123)
uncorrected formation energy: 1.0275 eV per atom

a = 3.7716 Å, b = 3.7716 Å, c = 5.8565 Å
α = 90.00°, β = 90.00°, γ = 90.00°
Last column: nearest neighbours and their distance in Å.
Element x y z (fractional)
Mn: 0.0000 0.0000 0.0000  4 N 1.89
I: 0.0000 0.0000 0.5000  4 Se 2.67, 2 Mn 2.93
N: 0.0000 0.5000 0.0000  2 Mn 1.89
Se: 0.5000 0.5000 0.5000  4 I 2.67
N: 0.5000 0.0000 0.0000  2 Mn 1.89


DFT (PBE) results for Ba2IrPb after structural relaxation.

Calculated values
energy of formation from the pure elements: 0.019 eV per atom
size of the total moment: 0.000 μB/atom
space-group type: Immm (71)

a = 6.1805 Å, b = 6.1805 Å, c = 6.1805 Å
α = 136.26°, β = 125.20°, γ = 72.60°
Last column: nearest neighbours and their distance in Å.
Element x y z (fractional)
Ba: 0.5402 0.5402 0.0000  2 Ir 3.11
Ir: 0.7500 0.2500 0.5000  4 Ba 3.11
Ba: 0.9598 0.9598 0.0000  2 Ir 3.11
Pb: 0.2500 0.7500 0.5000  8 Ba 3.53-3.70, 4 Ir 3.66


DFT (PBE) results for HgRhSe2Br after structural relaxation.

Calculated values
size of the total moment: 0.714 μB/atom
space-group type: P4/mmm (123)
uncorrected formation energy: 1.0623 eV per atom

a = 5.1791 Å, b = 5.4654 Å, c = 5.1791 Å
α = 90.00°, β = 90.00°, γ = 90.00°
Last column: nearest neighbours and their distance in Å.
Element x y z (fractional)
Rh: 0.0000 0.5000 0.0000  2 Hg 2.73
Hg: 0.0000 0.0000 0.0000  4 Se 2.59, 2 Rh 2.73
Se: 0.0000 0.0000 0.5000  2 Hg 2.59
Se: 0.5000 0.0000 0.0000  2 Hg 2.59
Br: 0.5000 0.5000 0.5000  4 Rh 3.66, 8 Se 3.76


DFT (PBE) results for CaH2Ru after structural relaxation.

Calculated values
size of the total moment: 0.000 μB/atom
space-group type: Fm-3m (225)
E: -0.294 Ry/atom

a = 3.9879 Å, b = 3.9879 Å, c = 3.9879 Å
α = 60.00°, β = 60.00°, γ = 60.00°
Last column: nearest neighbours and their distance in Å.
Element x y z (fractional)
H: 0.2500 0.2500 0.2500  4 Ru 2.44, 4 Ca 2.44
H: 0.7500 0.7500 0.7500  4 Ca 2.44, 4 Ru 2.44
Ca: 0.0000 0.0000 0.0000  8 H 2.44
Ru: 0.5000 0.5000 0.5000  8 H 2.44


DFT (PBE) results for GaSn2Pd after structural relaxation.

Calculated values
energy of formation from the pure elements: -0.045 eV per atom
size of the total moment: 0.000 μB/atom
space-group type: I-42d (122)

a = 4.5301 Å, b = 4.5301 Å, c = 9.5381 Å
α = 76.26°, β = 76.26°, γ = 90.00°
Last column: nearest neighbours and their distance in Å.
Element x y z (fractional)
Sn: 0.1071 0.6250 0.2500  2 Pd 2.73, 2 Ga 2.79
Ga: 0.2500 0.7500 0.5000  4 Sn 2.79
Ga: 0.5000 0.5000 0.0000  4 Sn 2.79
Pd: 0.7500 0.2500 0.5000  4 Sn 2.73
Pd: 0.0000 0.0000 0.0000  4 Sn 2.73
Sn: 0.8750 0.8929 0.7500  2 Pd 2.73, 2 Ga 2.79
Sn: 0.3750 0.3571 0.7500  2 Pd 2.73, 2 Ga 2.79
Sn: 0.6429 0.1250 0.2500  2 Pd 2.73, 2 Ga 2.79


DFT (PBE) results for InSeI2O after structural relaxation.

Calculated values
size of the total moment: 0.130 μB/atom
space-group type: P4/mmm (123)
uncorrected formation energy: 0.0326 eV per atom

a = 6.1550 Å, b = 6.1550 Å, c = 3.9293 Å
α = 90.00°, β = 90.00°, γ = 90.00°
Last column: nearest neighbours and their distance in Å.
Element x y z (fractional)
I: 0.5000 0.0000 0.0000  2 In 3.08
I: 0.0000 0.5000 0.0000  2 In 3.08
In: 0.0000 0.0000 0.0000  2 O 1.96
O: 0.0000 0.0000 0.5000  2 In 1.96
Se: 0.5000 0.5000 0.5000  8 I 3.65, 2 Se 3.93


Repeat the eleventh record exactly.
DFT (PBE) results for GaSn2Pd after structural relaxation.

Calculated values
energy of formation from the pure elements: -0.045 eV per atom
size of the total moment: 0.000 μB/atom
space-group type: I-42d (122)

a = 4.5301 Å, b = 4.5301 Å, c = 9.5381 Å
α = 76.26°, β = 76.26°, γ = 90.00°
Last column: nearest neighbours and their distance in Å.
Element x y z (fractional)
Sn: 0.1071 0.6250 0.2500  2 Pd 2.73, 2 Ga 2.79
Ga: 0.2500 0.7500 0.5000  4 Sn 2.79
Ga: 0.5000 0.5000 0.0000  4 Sn 2.79
Pd: 0.7500 0.2500 0.5000  4 Sn 2.73
Pd: 0.0000 0.0000 0.0000  4 Sn 2.73
Sn: 0.8750 0.8929 0.7500  2 Pd 2.73, 2 Ga 2.79
Sn: 0.3750 0.3571 0.7500  2 Pd 2.73, 2 Ga 2.79
Sn: 0.6429 0.1250 0.2500  2 Pd 2.73, 2 Ga 2.79


Question: What is the size of the total moment in the eleventh record?
Answer: 0.000 μB/atom